4
Lattice="-1.8971 -0.2948 -2.7048 -2.3344 -1.5153 1.8024 -3.0791 6.4731 1.4541" Properties=species:S:1:pos:R:3 comment="SrSbOs2, relaxed, DFT PBE" dos_at_fermi_per_ev_cell=4.89 crystal_system=tetragonal e_form_raw_ev_per_atom=0.7114 space_group="No. 123" vol_a3_per_fu=80.4 pbc="T T T"
Os -0.1587 0.3336 0.0749
Os -1.3809 2.9030 0.6521
Sb -2.8855 0.7132 -0.0877
Sr -4.4251 3.9498 0.6394

10
Lattice="3.7381 0.0000 0.0000 0.0000 3.7381 0.0000 0.0000 0.0000 13.0337" Properties=species:S:1:pos:R:3 comment="NpScS2O, relaxed, DFT PBE" dos_at_fermi_per_ev_cell=14.68 crystal_system=tetragonal e_form_raw_ev_per_atom=-2.1736 space_group="No. 129" vol_a3_per_fu=91.1 pbc="T T T"
Np 1.8691 0.0000 7.8428
Np 0.0000 1.8691 5.1909
Sc 1.8691 0.0000 1.3566
Sc 0.0000 1.8691 11.6771
S 0.0000 1.8691 9.1421
S 0.0000 1.8691 1.2905
S 1.8691 0.0000 11.7432
S 1.8691 0.0000 3.8916
O 0.0000 0.0000 6.5169
O 1.8691 1.8691 6.5169

18
Lattice="12.8644 0.0000 0.0000 0.0000 6.1951 0.0000 -6.4322 -3.0975 7.5514" Properties=species:S:1:pos:R:3 comment="Tb2Pm5Er2, relaxed, DFT PBE" dos_at_fermi_per_ev_cell=23.93 crystal_system=orthorhombic delta_e_f_kj_per_mol_atoms=16.5 de_polymorph_kcal_per_mol_atoms=3.54 space_group="No. 46" vol_a3_per_fu=300.9 pbc="T T T"
Tb 0.0000 0.4893 0.0000
Tb 6.4322 3.5868 0.0000
Tb -0.7172 -0.3217 3.7757
Tb 7.1494 2.7758 3.7757
Pm -3.8634 1.0447 6.8232
Pm 10.2956 4.1422 0.7282
Pm -2.5688 -2.0528 6.8232
Pm 9.0010 1.0447 0.7282
Pm 2.3878 0.0599 2.1731
Pm 4.0444 3.1575 5.3783
Pm 4.0444 3.1575 2.1731
Pm 2.3878 0.0599 5.3783
Pm -2.2800 2.6126 3.7757
Pm 8.7122 -0.4849 3.7757
Er 0.6363 3.1923 2.0443
Er 5.7959 0.0948 5.5071
Er 5.7959 0.0948 2.0443
Er 0.6363 3.1923 5.5071

12
Lattice="-1.9765 4.2294 6.2396 -4.8921 -5.4038 -2.7555 5.4677 -4.7761 3.3427" Properties=species:S:1:pos:R:3 comment="Na3LaDy2Te6, relaxed, DFT PBE" crystal_system=monoclinic e_form_raw_ev_per_atom=-1.3435 space_group="No. 12" vol_a3_per_fu=397.3 pbc="T T T"
Na -1.6814 -6.2164 0.3870
Na 0.2805 0.2658 6.4398
Na -0.7005 -2.9753 3.4134
La 0.0000 0.0000 0.0000
Dy -3.9218 -2.1980 0.2380
Dy -2.9468 1.0236 3.2461
Te -0.4603 -2.8749 6.7165
Te -3.7554 -1.9831 3.3410
Te -0.9406 -3.0757 0.1103
Te -1.4645 -6.1928 3.6184
Te 2.3544 -3.9674 3.4858
Te 0.0636 0.2422 3.2084

Total magnetic moment: 0.0 7.2 0.0 0.0 (μB/cell)